(1)
First-principles (PBE-GGA) data for a geometry-optimized Ba3Mg structure, as listed in Alexandria via LeMat-Bulk.

CIF file:
```
data_Ba3Mg
_cell_length_a 5.826
_cell_length_b 5.826
_cell_length_c 7.260
_cell_angle_alpha 113.65
_cell_angle_beta 113.65
_cell_angle_gamma 90.00
_space_group_name_H-M_alt 'P 1'
_space_group_IT_number 1
_space_group_name_Hall 'P 1'
loop_
_atom_site_label
_atom_site_type_symbol
_atom_site_fract_x
_atom_site_fract_y
_atom_site_fract_z
Ba1 Ba 0.250 0.750 0.500
Ba2 Ba 0.500 0.500 0.000
Ba3 Ba 0.750 0.250 0.500
Mg1 Mg 0.000 0.000 0.000
```

Energy relative to the elements ... 0.082 eV per atom
SG ... I4/mmm (139)
Total magnetization ... 0.0 μB per formula unit
Energy relative to the lowest polymorph listed for this composition ... 96.2 meV/atom
Crystal system ... tetragonal


(2)
First-principles (PBE-GGA) data for a geometry-optimized TbHf2Zr3N6 structure, as listed in Alexandria via LeMat-Bulk.

CIF file:
```
data_TbHf2Zr3N6
_cell_length_a 3.263
_cell_length_b 6.596
_cell_length_c 7.327
_cell_angle_alpha 102.88
_cell_angle_beta 102.86
_cell_angle_gamma 90.00
_space_group_name_H-M_alt 'P 1'
_space_group_IT_number 1
_space_group_name_Hall 'P 1'
loop_
_atom_site_label
_atom_site_type_symbol
_atom_site_fract_x
_atom_site_fract_y
_atom_site_fract_z
Tb1 Tb 0.500 0.000 0.000
Zr1 Zr 0.166 0.832 0.332
Zr2 Zr 0.834 0.168 0.668
Zr3 Zr 0.500 0.500 0.000
N1 N 0.329 0.904 0.657
N2 N 0.671 0.096 0.343
N3 N 0.669 0.576 0.339
N4 N 0.995 0.736 0.990
N5 N 0.331 0.424 0.661
N6 N 0.005 0.264 0.010
Hf1 Hf 0.167 0.335 0.334
Hf2 Hf 0.833 0.665 0.666
```

Energy relative to the elements, uncorrected ... -1708 meV per atom
SG ... C2/m (12)
Total magnetization ... 0.0 μB per formula unit
Crystal system ... monoclinic


(3)
First-principles (PBE-GGA) data for a geometry-optimized Tl2TcI structure, as listed in Alexandria via LeMat-Bulk.

CIF file:
```
data_Tl2TcI
_cell_length_a 5.825
_cell_length_b 5.825
_cell_length_c 9.908
_cell_angle_alpha 72.90
_cell_angle_beta 72.90
_cell_angle_gamma 90.00
_space_group_name_H-M_alt 'P 1'
_space_group_IT_number 1
_space_group_name_Hall 'P 1'
loop_
_atom_site_label
_atom_site_type_symbol
_atom_site_fract_x
_atom_site_fract_y
_atom_site_fract_z
Tl1 Tl 0.375 0.499 0.750
Tl2 Tl 0.249 0.625 0.250
Tl3 Tl 0.501 0.125 0.250
Tl4 Tl 0.875 0.751 0.750
Tc1 Tc 0.250 0.750 0.500
Tc2 Tc 0.500 0.500 0.000
I1 I 0.000 0.000 0.000
I2 I 0.750 0.250 0.500
```

Energy relative to the elements, uncorrected ... 818 meV per atom
SG ... I-42d (122)
Total magnetization ... 3.0 μB per formula unit
Energy relative to the lowest polymorph listed for this composition ... 0.0 meV/atom
Crystal system ... tetragonal


(4)
First-principles (PBE-GGA) data for a geometry-optimized Bi2Sb2Br structure, as listed in Alexandria via LeMat-Bulk.

CIF file:
```
data_Bi2Sb2Br
_cell_length_a 8.919
_cell_length_b 8.919
_cell_length_c 3.895
_cell_angle_alpha 90.00
_cell_angle_beta 90.00
_cell_angle_gamma 90.00
_space_group_name_H-M_alt 'P 1'
_space_group_IT_number 1
_space_group_name_Hall 'P 1'
loop_
_atom_site_label
_atom_site_type_symbol
_atom_site_fract_x
_atom_site_fract_y
_atom_site_fract_z
Br1 Br 0.000 0.000 0.000
Br2 Br 0.500 0.500 0.000
Bi1 Bi 0.849 0.651 0.000
Bi2 Bi 0.651 0.151 0.000
Bi3 Bi 0.349 0.849 0.000
Bi4 Bi 0.151 0.349 0.000
Sb1 Sb 0.365 0.135 0.500
Sb2 Sb 0.635 0.865 0.500
Sb3 Sb 0.865 0.365 0.500
Sb4 Sb 0.135 0.635 0.500
```

Energy relative to the elements, uncorrected ... 3 meV per atom
SG ... P4/mbm (127)
Total magnetization ... 0.0 μB per formula unit
Energy relative to the lowest polymorph listed for this composition ... 113.5 meV/atom
Crystal system ... tetragonal


(5)
First-principles (PBE-GGA) data for a geometry-optimized SrPd structure, as listed in Alexandria via LeMat-Bulk.

CIF file:
```
data_SrPd
_cell_length_a 6.066
_cell_length_b 15.493
_cell_length_c 9.283
_cell_angle_alpha 90.00
_cell_angle_beta 90.00
_cell_angle_gamma 90.00
_space_group_name_H-M_alt 'P 1'
_space_group_IT_number 1
_space_group_name_Hall 'P 1'
loop_
_atom_site_label
_atom_site_type_symbol
_atom_site_fract_x
_atom_site_fract_y
_atom_site_fract_z
Sr1 Sr 0.500 0.000 0.178
Sr2 Sr 0.000 0.500 0.178
Sr3 Sr 0.000 0.000 0.322
Sr4 Sr 0.250 0.250 0.072
Sr5 Sr 0.750 0.750 0.072
Sr6 Sr 0.500 0.500 0.678
Sr7 Sr 0.000 0.000 0.678
Sr8 Sr 0.750 0.250 0.928
Sr9 Sr 0.750 0.750 0.428
Sr10 Sr 0.500 0.000 0.822
Sr11 Sr 0.000 0.500 0.822
Sr12 Sr 0.250 0.250 0.428
Sr13 Sr 0.500 0.500 0.322
Sr14 Sr 0.750 0.250 0.572
Sr15 Sr 0.250 0.750 0.928
Sr16 Sr 0.250 0.750 0.572
Pd1 Pd 0.250 0.336 0.750
Pd2 Pd 0.500 0.914 0.500
Pd3 Pd 0.750 0.164 0.250
Pd4 Pd 0.000 0.086 0.000
Pd5 Pd 0.250 0.836 0.250
Pd6 Pd 0.500 0.086 0.500
Pd7 Pd 0.750 0.836 0.750
Pd8 Pd 0.500 0.586 0.000
Pd9 Pd 0.500 0.414 0.000
Pd10 Pd 0.750 0.336 0.250
Pd11 Pd 0.250 0.664 0.250
Pd12 Pd 0.750 0.664 0.750
Pd13 Pd 0.250 0.164 0.750
Pd14 Pd 0.000 0.914 0.000
Pd15 Pd 0.000 0.414 0.500
Pd16 Pd 0.000 0.586 0.500
```

Energy relative to the elements ... -0.293 eV per atom
SG ... Fddd (70)
Total magnetization ... 0.0 μB per formula unit
Crystal system ... orthorhombic


(6)
First-principles (PBE-GGA) data for a geometry-optimized BaPtNO2 structure, as listed in Alexandria via LeMat-Bulk.

CIF file:
```
data_BaPtNO2
_cell_length_a 4.359
_cell_length_b 4.359
_cell_length_c 5.620
_cell_angle_alpha 90.00
_cell_angle_beta 90.00
_cell_angle_gamma 90.00
_space_group_name_H-M_alt 'P 1'
_space_group_IT_number 1
_space_group_name_Hall 'P 1'
loop_
_atom_site_label
_atom_site_type_symbol
_atom_site_fract_x
_atom_site_fract_y
_atom_site_fract_z
Pt1 Pt 0.500 0.500 0.500
Ba1 Ba 0.000 0.000 0.000
O1 O 0.500 0.000 0.000
O2 O 0.000 0.500 0.000
N1 N 0.000 0.000 0.500
```

Energy relative to the elements, uncorrected ... 1373 meV per atom
SG ... P4/mmm (123)
Total magnetization ... 2.8 μB per formula unit
Crystal system ... tetragonal


(7)
First-principles (PBE-GGA) data for a geometry-optimized ScZn2Cd2 structure, as listed in Alexandria via LeMat-Bulk.

CIF file:
```
data_ScZn2Cd2
_cell_length_a 4.093
_cell_length_b 4.093
_cell_length_c 6.671
_cell_angle_alpha 72.14
_cell_angle_beta 72.14
_cell_angle_gamma 90.00
_space_group_name_H-M_alt 'P 1'
_space_group_IT_number 1
_space_group_name_Hall 'P 1'
loop_
_atom_site_label
_atom_site_type_symbol
_atom_site_fract_x
_atom_site_fract_y
_atom_site_fract_z
Zn1 Zn 0.598 0.598 0.805
Zn2 Zn 0.402 0.402 0.195
Cd1 Cd 0.250 0.750 0.500
Cd2 Cd 0.750 0.250 0.500
Sc1 Sc 0.000 0.000 0.000
```

Energy relative to the elements ... -0.092 eV per atom
SG ... I4/mmm (139)
Total magnetization ... 0.0 μB per formula unit
Energy relative to the lowest polymorph listed for this composition ... 65.9 meV/atom
Crystal system ... tetragonal


(8)
First-principles (PBE-GGA) data for a geometry-optimized NaSr4Zn structure, as listed in Alexandria via LeMat-Bulk.

CIF file:
```
data_NaSr4Zn
_cell_length_a 8.466
_cell_length_b 8.202
_cell_length_c 8.355
_cell_angle_alpha 90.00
_cell_angle_beta 97.81
_cell_angle_gamma 90.00
_space_group_name_H-M_alt 'P 1'
_space_group_IT_number 1
_space_group_name_Hall 'P 1'
loop_
_atom_site_label
_atom_site_type_symbol
_atom_site_fract_x
_atom_site_fract_y
_atom_site_fract_z
Sr1 Sr 0.614 0.141 0.835
Sr2 Sr 0.309 0.334 0.374
Sr3 Sr 0.886 0.641 0.165
Sr4 Sr 0.691 0.666 0.626
Sr5 Sr 0.809 0.166 0.374
Sr6 Sr 0.386 0.859 0.165
Sr7 Sr 0.114 0.359 0.835
Sr8 Sr 0.191 0.834 0.626
Zn1 Zn 0.500 0.000 0.500
Zn2 Zn 0.000 0.500 0.500
Na1 Na 0.500 0.500 0.000
Na2 Na 0.000 0.000 0.000
```

Energy relative to the elements ... 0.055 eV per atom
SG ... P2_1/c (14)
Total magnetization ... 0.0 μB per formula unit
Energy relative to the lowest polymorph listed for this composition ... 108.9 meV/atom
Crystal system ... monoclinic


(9)
First-principles (PBE-GGA) data for a geometry-optimized BaMnTlI5 structure, as listed in Alexandria via LeMat-Bulk.

CIF file:
```
data_BaMnTlI5
_cell_length_a 8.780
_cell_length_b 8.780
_cell_length_c 12.093
_cell_angle_alpha 104.41
_cell_angle_beta 104.41
_cell_angle_gamma 104.85
_space_group_name_H-M_alt 'P 1'
_space_group_IT_number 1
_space_group_name_Hall 'P 1'
loop_
_atom_site_label
_atom_site_type_symbol
_atom_site_fract_x
_atom_site_fract_y
_atom_site_fract_z
Mn1 Mn 0.681 0.319 0.250
Mn2 Mn 0.319 0.681 0.750
I1 I 0.407 0.279 0.066
I2 I 0.279 0.407 0.566
I3 I 0.062 0.646 0.838
I4 I 0.354 0.938 0.662
I5 I 0.721 0.593 0.434
I6 I 0.111 0.889 0.250
I7 I 0.889 0.111 0.750
I8 I 0.938 0.354 0.162
I9 I 0.593 0.721 0.934
I10 I 0.646 0.062 0.338
Tl1 Tl 0.359 0.641 0.250
Tl2 Tl 0.641 0.359 0.750
Ba1 Ba 0.000 0.000 0.000
Ba2 Ba 0.000 0.000 0.500
```

Energy relative to the elements, uncorrected ... -967 meV per atom
SG ... C2/c (15)
Total magnetization ... 5.0 μB per formula unit
Crystal system ... monoclinic